# 1
Zr6ReRh after structural relaxation. Source: Alexandria, functional PBE-GGA.

Cell: 6.381 9.133 5.813 Å, 90.00 105.45 90.00°
Atoms (fractional coordinates):
1 Zr 0.100 0.248 0.269
2 Zr 0.100 0.752 0.269
3 Zr 0.244 0.000 0.989
4 Zr 0.256 0.500 0.011
5 Zr 0.400 0.252 0.731
6 Zr 0.400 0.748 0.731
7 Zr 0.600 0.252 0.269
8 Zr 0.600 0.748 0.269
9 Zr 0.744 0.500 0.989
10 Zr 0.756 0.000 0.011
11 Zr 0.900 0.248 0.731
12 Zr 0.900 0.752 0.731
13 Re 0.000 0.000 0.500
14 Re 0.500 0.500 0.500
15 Rh 0.000 0.500 0.500
16 Rh 0.500 0.000 0.500

## Properties
- E_form (eV per atom) = -0.15
- energy (eV/atom) = -9.04
- space group = C2/m, No. 12
- total magnetization (μB per cell) = 0.00

# 2
Zr2ReRh after structural relaxation. Source: Alexandria, functional PBE-GGA.

Cell: 3.314 3.314 6.554 Å, 90.00 90.00 90.00°
Atoms (fractional coordinates):
1 Zr 0.000 0.000 0.246
2 Zr 0.000 0.000 0.754
3 Re 0.500 0.500 0.000
4 Rh 0.500 0.500 0.500

## Properties
- E_form (eV per atom) = -0.59
- energy (eV/atom) = -9.81
- space group = P4/mmm, No. 123
- total magnetization (μB per cell) = 0.00

# 3
ZrReRh3 after structural relaxation. Source: Alexandria, functional PBE-GGA.

Cell: 4.680 4.680 4.680 Å, 90.00 90.00 90.00°
Atoms (fractional coordinates):
1 Zr 0.000 0.000 0.000
2 Re 0.500 0.500 0.500
3 Rh 0.000 0.500 0.500
4 Rh 0.500 0.000 0.500
5 Rh 0.500 0.500 0.000

## Properties
- E_form (eV per atom) = 0.82
- energy (eV/atom) = -7.79
- space group = Pm-3m, No. 221
- total magnetization (μB per cell) = 0.00
- offset from the most stable computed form (eV per atom) = 0.000

# 4
Zr2ReRh after structural relaxation. Source: Alexandria, functional PBE-GGA.

Cell: 3.411 4.474 9.503 Å, 90.00 90.00 90.00°
Atoms (fractional coordinates):
1 Zr 0.000 0.000 0.000
2 Zr 0.000 0.500 0.236
3 Zr 0.500 0.000 0.736
4 Zr 0.500 0.500 0.500
5 Re 0.000 0.000 0.496
6 Re 0.500 0.500 0.996
7 Rh 0.000 0.500 0.747
8 Rh 0.500 0.000 0.247

## Properties
- E_form (eV per atom) = -0.30
- energy (eV/atom) = -9.52
- space group = Imm2, No. 44
- total magnetization (μB per cell) = 0.00

# 5
ZrReRh after structural relaxation. Source: Alexandria, functional PBE-GGA.

Cell: 6.212 6.212 6.212 Å, 90.00 90.00 90.00°
Atoms (fractional coordinates):
1 Zr 0.000 0.000 0.000
2 Zr 0.000 0.500 0.500
3 Zr 0.500 0.000 0.500
4 Zr 0.500 0.500 0.000
5 Re 0.250 0.250 0.250
6 Re 0.250 0.750 0.750
7 Re 0.750 0.250 0.750
8 Re 0.750 0.750 0.250
9 Rh 0.250 0.250 0.750
10 Rh 0.250 0.750 0.250
11 Rh 0.750 0.250 0.250
12 Rh 0.750 0.750 0.750

## Properties
- E_form (eV per atom) = 0.79
- energy (eV/atom) = -8.66
- space group = F-43m, No. 216
- total magnetization (μB per cell) = 4.89
- offset from the most stable computed form (eV per atom) = 0.994

# 6
Zr2ReRh after structural relaxation. Source: Alexandria, functional PBE-GGA.

Cell: 6.556 6.556 6.556 Å, 90.00 90.00 90.00°
Atoms (fractional coordinates):
1 Zr 0.000 0.000 0.000
2 Zr 0.000 0.500 0.500
3 Zr 0.250 0.250 0.250
4 Zr 0.250 0.750 0.750
5 Zr 0.500 0.000 0.500
6 Zr 0.500 0.500 0.000
7 Zr 0.750 0.250 0.750
8 Zr 0.750 0.750 0.250
9 Re 0.250 0.250 0.750
10 Re 0.250 0.750 0.250
11 Re 0.750 0.250 0.250
12 Re 0.750 0.750 0.750
13 Rh 0.000 0.000 0.500
14 Rh 0.000 0.500 0.000
15 Rh 0.500 0.000 0.000
16 Rh 0.500 0.500 0.500

## Properties
- E_form (eV per atom) = -0.11
- energy (eV/atom) = -9.33
- space group = F-43m, No. 216
- total magnetization (μB per cell) = 0.00

# 7
Zr2ReRh after structural relaxation. Source: Alexandria, functional PBE-GGA.

Cell: 4.236 4.236 17.952 Å, 90.00 90.00 90.00°
Atoms (fractional coordinates):
1 Zr 0.248 0.250 0.125
2 Zr 0.250 0.748 0.375
3 Zr 0.250 0.752 0.875
4 Zr 0.252 0.250 0.625
5 Zr 0.748 0.750 0.625
6 Zr 0.750 0.248 0.875
7 Zr 0.750 0.252 0.375
8 Zr 0.752 0.750 0.125
9 Re 0.000 0.000 0.000
10 Re 0.000 0.500 0.250
11 Re 0.500 0.000 0.750
12 Re 0.500 0.500 0.500
13 Rh 0.000 0.000 0.500
14 Rh 0.000 0.500 0.750
15 Rh 0.500 0.000 0.250
16 Rh 0.500 0.500 0.000

## Properties
- E_form (eV per atom) = 0.56
- energy (eV/atom) = -8.67
- space group = I-42d, No. 122
- total magnetization (μB per cell) = 1.11

# 8
ZrRe2Rh2 after structural relaxation. Source: Alexandria, functional PBE-GGA.

Cell: 7.678 7.678 2.756 Å, 90.00 90.00 90.00°
Atoms (fractional coordinates):
1 Zr 0.000 0.000 0.000
2 Zr 0.500 0.500 0.000
3 Re 0.120 0.380 0.000
4 Re 0.380 0.880 0.000
5 Re 0.620 0.120 0.000
6 Re 0.880 0.620 0.000
7 Rh 0.174 0.674 0.500
8 Rh 0.326 0.174 0.500
9 Rh 0.674 0.826 0.500
10 Rh 0.826 0.326 0.500

## Properties
- E_form (eV per atom) = -0.11
- energy (eV/atom) = -9.74
- space group = P4/mbm, No. 127
- total magnetization (μB per cell) = 0.00

# 9
Zr4Re3Rh after structural relaxation. Source: Alexandria, functional PBE-GGA.

Cell: 3.313 4.675 9.319 Å, 90.00 90.00 90.00°
Atoms (fractional coordinates):
1 Zr 0.000 0.000 0.000
2 Zr 0.000 0.000 0.500
3 Zr 0.000 0.500 0.248
4 Zr 0.000 0.500 0.752
5 Re 0.500 0.000 0.253
6 Re 0.500 0.000 0.747
7 Re 0.500 0.500 0.000
8 Rh 0.500 0.500 0.500

## Properties
- E_form (eV per atom) = -0.38
- energy (eV/atom) = -10.24
- space group = Pmmm, No. 47
- total magnetization (μB per cell) = 0.00

# 10
Zr2ReRh after structural relaxation. Source: Alexandria, functional PBE-GGA.

Cell: 2.856 5.080 10.385 Å, 90.00 90.00 90.00°
Atoms (fractional coordinates):
1 Zr 0.000 0.000 0.244
2 Zr 0.000 0.000 0.756
3 Zr 0.500 0.500 0.256
4 Zr 0.500 0.500 0.744
5 Re 0.000 0.000 0.500
6 Re 0.500 0.500 0.000
7 Rh 0.000 0.000 0.000
8 Rh 0.500 0.500 0.500

## Properties
- E_form (eV per atom) = 0.46
- energy (eV/atom) = -8.77
- space group = Immm, No. 71
- total magnetization (μB per cell) = 0.00

# 11
Zr4ReRh3 after structural relaxation. Source: Alexandria, functional PBE-GGA.

Cell: 3.335 3.335 12.936 Å, 90.00 90.00 90.00°
Atoms (fractional coordinates):
1 Zr 0.000 0.000 0.123
2 Zr 0.000 0.000 0.376
3 Zr 0.000 0.000 0.624
4 Zr 0.000 0.000 0.877
5 Re 0.500 0.500 0.000
6 Rh 0.500 0.500 0.253
7 Rh 0.500 0.500 0.500
8 Rh 0.500 0.500 0.747

## Properties
- E_form (eV per atom) = -0.67
- energy (eV/atom) = -9.26
- space group = P4/mmm, No. 123
- total magnetization (μB per cell) = 0.00

# 12
Re4Ru5 after structural relaxation. Source: Alexandria, functional PBE-GGA.

Cell: 6.106 6.106 6.106 Å, 95.74 95.74 143.13°
Atoms (fractional coordinates):
1 Re 0.000 0.332 0.332
2 Re 0.000 0.668 0.668
3 Re 0.332 0.000 0.332
4 Re 0.668 0.000 0.668
5 Ru 0.000 0.000 0.000
6 Ru 0.334 0.334 0.667
7 Ru 0.334 0.666 0.000
8 Ru 0.666 0.334 0.000
9 Ru 0.666 0.666 0.333

## Properties
- E_form (eV per atom) = 0.06
- energy (eV/atom) = -10.62
- space group = I4/mmm, No. 139
- total magnetization (μB per cell) = 0.00
- offset from the most stable computed form (eV per atom) = 0.000

# 13
Re3Ru after structural relaxation. Source: Alexandria, functional PBE-GGA.

Cell: 4.781 8.885 5.537 Å, 90.00 90.00 90.00°
Atoms (fractional coordinates):
1 Re 0.086 0.250 0.123
2 Re 0.248 0.505 0.377
3 Re 0.248 0.995 0.377
4 Re 0.252 0.005 0.877
5 Re 0.252 0.495 0.877
6 Re 0.414 0.750 0.623
7 Re 0.586 0.250 0.377
8 Re 0.748 0.505 0.123
9 Re 0.748 0.995 0.123
10 Re 0.752 0.005 0.623
11 Re 0.752 0.495 0.623
12 Re 0.914 0.750 0.877
13 Ru 0.086 0.250 0.623
14 Ru 0.414 0.750 0.123
15 Ru 0.586 0.250 0.877
16 Ru 0.914 0.750 0.377

## Properties
- E_form (eV per atom) = 0.00
- energy (eV/atom) = -11.66
- space group = Pnma, No. 62
- total magnetization (μB per cell) = 0.00

# 14
ReRu5 after structural relaxation. Source: Alexandria, functional PBE-GGA.

Cell: 4.969 4.969 4.351 Å, 90.00 90.00 120.00°
Atoms (fractional coordinates):
1 Re 0.000 0.000 0.000
2 Ru 0.000 0.500 0.500
3 Ru 0.333 0.667 0.000
4 Ru 0.500 0.000 0.500
5 Ru 0.500 0.500 0.500
6 Ru 0.667 0.333 0.000

## Properties
- E_form (eV per atom) = 0.85
- energy (eV/atom) = -8.95
- space group = P6/mmm, No. 191
- total magnetization (μB per cell) = 0.00
- offset from the most stable computed form (eV per atom) = 0.895

# 15
ReRu2 after structural relaxation. Source: Alexandria, functional PBE-GGA.

Cell: 9.921 2.743 6.456 Å, 90.00 103.80 90.00°
Atoms (fractional coordinates):
1 Re 0.000 0.000 0.000
2 Re 0.169 0.500 0.337
3 Re 0.500 0.500 0.000
4 Re 0.669 0.000 0.337
5 Ru 0.057 0.000 0.614
6 Ru 0.223 0.500 0.948
7 Ru 0.335 0.000 0.670
8 Ru 0.391 0.000 0.280
9 Ru 0.557 0.500 0.614
10 Ru 0.723 0.000 0.948
11 Ru 0.835 0.500 0.670
12 Ru 0.891 0.500 0.280

## Properties
- E_form (eV per atom) = -0.06
- energy (eV/atom) = -10.39
- space group = Cm, No. 8
- total magnetization (μB per cell) = 0.00
- offset from the most stable computed form (eV per atom) = 0.017

# 16
Re3Ru after structural relaxation. Source: Alexandria, functional PBE-GGA.

Cell: 2.758 8.852 4.807 Å, 90.00 90.00 90.00°
Atoms (fractional coordinates):
1 Re 0.000 0.000 0.000
2 Re 0.000 0.249 0.329
3 Re 0.000 0.751 0.329
4 Re 0.500 0.251 0.829
5 Re 0.500 0.500 0.500
6 Re 0.500 0.749 0.829
7 Ru 0.000 0.500 0.993
8 Ru 0.500 0.000 0.493

## Properties
- E_form (eV per atom) = -0.06
- energy (eV/atom) = -11.71
- space group = Imm2, No. 44
- total magnetization (μB per cell) = 0.00

# 17
Re4Ru3 after structural relaxation. Source: Alexandria, functional PBE-GGA.

Cell: 3.231 3.231 19.943 Å, 90.00 90.00 90.00°
Atoms (fractional coordinates):
1 Re 0.000 0.000 0.075
2 Re 0.000 0.000 0.358
3 Re 0.000 0.000 0.642
4 Re 0.000 0.000 0.925
5 Re 0.500 0.500 0.142
6 Re 0.500 0.500 0.425
7 Re 0.500 0.500 0.575
8 Re 0.500 0.500 0.858
9 Ru 0.000 0.000 0.215
10 Ru 0.000 0.000 0.500
11 Ru 0.000 0.000 0.785
12 Ru 0.500 0.500 0.000
13 Ru 0.500 0.500 0.285
14 Ru 0.500 0.500 0.715

## Properties
- E_form (eV per atom) = 0.40
- energy (eV/atom) = -10.69
- space group = I4/mmm, No. 139
- total magnetization (μB per cell) = 3.15
- offset from the most stable computed form (eV per atom) = 0.097

# 18
ReRu2 after structural relaxation. Source: Alexandria, functional PBE-GGA.

Cell: 5.058 5.058 8.031 Å, 90.00 90.00 120.00°
Atoms (fractional coordinates):
1 Re 0.333 0.667 0.086
2 Re 0.333 0.667 0.414
3 Re 0.667 0.333 0.586
4 Re 0.667 0.333 0.914
5 Ru 0.000 0.000 0.000
6 Ru 0.000 0.000 0.500
7 Ru 0.174 0.348 0.750
8 Ru 0.174 0.826 0.750
9 Ru 0.348 0.174 0.250
10 Ru 0.652 0.826 0.750
11 Ru 0.826 0.174 0.250
12 Ru 0.826 0.652 0.250

## Properties
- E_form (eV per atom) = 0.41
- energy (eV/atom) = -9.92
- space group = P6_3/mmc, No. 194
- total magnetization (μB per cell) = 0.00
- offset from the most stable computed form (eV per atom) = 0.489

# 19
Re3Ru after structural relaxation. Source: Alexandria, functional PBE-GGA.

Cell: 8.777 8.777 2.683 Å, 90.00 90.00 120.00°
Atoms (fractional coordinates):
1 Re 0.000 0.500 0.000
2 Re 0.167 0.333 0.333
3 Re 0.167 0.833 0.333
4 Re 0.333 0.167 0.667
5 Re 0.500 0.000 0.000
6 Re 0.500 0.500 0.000
7 Re 0.667 0.833 0.333
8 Re 0.833 0.167 0.667
9 Re 0.833 0.667 0.667
10 Ru 0.000 0.000 0.000
11 Ru 0.333 0.667 0.667
12 Ru 0.667 0.333 0.333

## Properties
- E_form (eV per atom) = 0.36
- energy (eV/atom) = -11.29
- space group = R-3m, No. 166
- total magnetization (μB per cell) = 0.00

# 20
Re3Ru after structural relaxation. Source: Alexandria, functional PBE-GGA.

Cell: 2.750 2.750 7.792 Å, 90.00 90.00 90.00°
Atoms (fractional coordinates):
1 Re 0.000 0.000 0.000
2 Re 0.500 0.500 0.252
3 Re 0.500 0.500 0.748
4 Ru 0.000 0.000 0.500

## Properties
- E_form (eV per atom) = 0.06
- energy (eV/atom) = -11.60
- space group = P4/mmm, No. 123
- total magnetization (μB per cell) = 0.00